This record from Alexandria describes an optimized crystal structure of YNp5As6. The functional is GGA-PBE.

The structure in POSCAR format:
```
YNp5As6
1.0
7.042 0.168 1.068
1.728 5.961 3.475
0.118 0.062 7.114
As Y Np
6 1 5
direct
0.749 0.748 0.000 As
0.749 0.419 0.665 As
0.251 0.252 0.000 As
0.251 0.916 0.665 As
0.251 0.581 0.335 As
0.749 0.084 0.335 As
0.000 0.000 0.000 Y
0.500 0.166 0.669 Np
0.000 0.667 0.666 Np
0.500 0.500 0.000 Np
0.500 0.834 0.331 Np
0.000 0.333 0.334 Np
```

Calculated formation energy (meV per atom): -830